A PBEsol-optimized structure of MgHg2W, computed with SCAN.

Unit cell a=2.946 b=4.101 c=6.059 alpha=90.00 beta=90.09 gamma=90.00
Atoms (fractional coordinates):
1 Mg 0.000 0.000 0.000
2 Hg 0.500 0.500 0.254
3 Hg 0.500 0.500 0.746
4 W 0.000 0.000 0.500

Output
Energy relative to the elements   2.1 eV per formula unit
Energy relative to the lowest polymorph listed for this composition   103 meV/atom
Crystal system   monoclinic
Total DFT energy (no corrections)   -52.2306 eV/atom